# 1
Sr2Tc2NO5 after structural relaxation, computed with PBE.

Values from the calculation:
The calculation puts the magnetic moment at 0.01 Bohr magnetons per cell. As for the crystal system: tetragonal. The total DFT energy (no corrections) is -7.55 eV/atom.

The structure in POSCAR format:
```
Sr2Tc2NO5
1.0
3.973 0.000 0.000
0.000 3.973 0.000
0.000 0.000 7.814
Sr Tc N O
2 2 1 5
direct
0.000 0.000 0.000 Sr
0.000 0.000 0.500 Sr
0.500 0.500 0.236 Tc
0.500 0.500 0.764 Tc
0.500 0.500 0.000 N
0.000 0.500 0.252 O
0.000 0.500 0.748 O
0.500 0.000 0.252 O
0.500 0.000 0.748 O
0.500 0.500 0.500 O
```

# 2
NdAgSnS3 after structural relaxation, computed with PBE.

Values from the calculation:
The calculation puts the magnetic moment at 0.02 Bohr magnetons per cell. As for the crystal system: orthorhombic. The total DFT energy (no corrections) is -4.96 eV/atom.

The structure in POSCAR format:
```
NdAgSnS3
1.0
11.619 0.000 0.000
0.000 4.231 0.000
0.000 0.000 11.575
Nd Ag Sn S
4 4 4 12
direct
0.017 0.250 0.176 Nd
0.483 0.750 0.676 Nd
0.517 0.250 0.324 Nd
0.983 0.750 0.824 Nd
0.244 0.750 0.303 Ag
0.256 0.250 0.803 Ag
0.744 0.750 0.197 Ag
0.756 0.250 0.697 Ag
0.162 0.250 0.523 Sn
0.338 0.750 0.023 Sn
0.662 0.250 0.977 Sn
0.838 0.750 0.477 Sn
0.034 0.750 0.359 S
0.090 0.250 0.937 S
0.229 0.750 0.674 S
0.271 0.250 0.174 S
0.410 0.750 0.437 S
0.466 0.250 0.859 S
0.534 0.750 0.141 S
0.590 0.250 0.563 S
0.729 0.750 0.826 S
0.771 0.250 0.326 S
0.910 0.750 0.063 S
0.966 0.250 0.641 S
```

# 3
Nd2Sm2CI2Br3 after structural relaxation, computed with PBE.

Values from the calculation:
The calculation puts the magnetic moment at 0.08 Bohr magnetons per cell. As for the crystal system: monoclinic. The total DFT energy (no corrections) is -4.94 eV/atom.

The structure in POSCAR format:
```
Nd2Sm2CI2Br3
1.0
9.501 -1.995 0.000
9.501 1.995 0.000
-1.907 0.000 8.222
Nd Sm C I Br
2 2 1 2 3
direct
0.000 0.000 0.206 Nd
0.000 0.000 0.794 Nd
0.366 0.366 0.927 Sm
0.634 0.634 0.073 Sm
0.500 0.500 0.000 C
0.172 0.172 0.815 I
0.828 0.828 0.185 I
0.161 0.161 0.334 Br
0.500 0.500 0.500 Br
0.839 0.839 0.666 Br
```

# 4
NaPm3Te4 after structural relaxation, computed with PBE.

Values from the calculation:
The calculation puts the magnetic moment at 0.04 Bohr magnetons per cell. As for the crystal system: orthorhombic. The total DFT energy (no corrections) is -4.90 eV/atom.

The structure in POSCAR format:
```
NaPm3Te4
1.0
9.021 0.000 0.000
0.000 12.656 0.000
0.000 0.000 4.448
Na Pm Te
2 6 8
direct
0.000 0.000 0.000 Na
0.500 0.500 0.000 Na
0.000 0.500 0.000 Pm
0.250 0.250 0.500 Pm
0.250 0.750 0.500 Pm
0.500 0.000 0.000 Pm
0.750 0.250 0.500 Pm
0.750 0.750 0.500 Pm
0.000 0.248 0.000 Te
0.000 0.752 0.000 Te
0.250 0.000 0.500 Te
0.250 0.500 0.500 Te
0.500 0.252 0.000 Te
0.500 0.748 0.000 Te
0.750 0.000 0.500 Te
0.750 0.500 0.500 Te
```

# 5
Al28Co after structural relaxation, computed with PBE.

Values from the calculation:
The calculation puts the magnetic moment at 0.00 Bohr magnetons per cell. As for the crystal system: cubic. The total DFT energy (no corrections) is -3.79 eV/atom.

The structure in POSCAR format:
```
Al28Co
1.0
-4.953 4.953 4.953
4.953 -4.953 4.953
4.953 4.953 -4.953
Al Co
28 1
direct
0.000 0.000 0.685 Al
0.000 0.191 0.379 Al
0.000 0.379 0.191 Al
0.000 0.415 0.692 Al
0.000 0.685 0.000 Al
0.000 0.692 0.415 Al
0.188 0.809 0.809 Al
0.191 0.000 0.379 Al
0.191 0.379 0.000 Al
0.277 0.585 0.585 Al
0.308 0.308 0.723 Al
0.308 0.723 0.308 Al
0.315 0.315 0.315 Al
0.379 0.000 0.191 Al
0.379 0.191 0.000 Al
0.415 0.000 0.692 Al
0.415 0.692 0.000 Al
0.585 0.277 0.585 Al
0.585 0.585 0.277 Al
0.621 0.621 0.812 Al
0.621 0.812 0.621 Al
0.685 0.000 0.000 Al
0.692 0.000 0.415 Al
0.692 0.415 0.000 Al
0.723 0.308 0.308 Al
0.809 0.188 0.809 Al
0.809 0.809 0.188 Al
0.812 0.621 0.621 Al
0.000 0.000 0.000 Co
```

# 6
PrFeCuSi2 after structural relaxation, computed with PBE.

Values from the calculation:
The calculation puts the magnetic moment at 3.80 Bohr magnetons per cell. As for the crystal system: tetragonal. The total DFT energy (no corrections) is -6.06 eV/atom.

The structure in POSCAR format:
```
PrFeCuSi2
1.0
4.081 0.000 0.000
0.000 4.081 0.000
0.000 0.000 9.922
Pr Fe Cu Si
2 2 2 4
direct
0.000 0.000 0.000 Pr
0.500 0.500 0.500 Pr
0.000 0.500 0.750 Fe
0.500 0.000 0.250 Fe
0.000 0.500 0.250 Cu
0.500 0.000 0.750 Cu
0.000 0.000 0.374 Si
0.000 0.000 0.626 Si
0.500 0.500 0.126 Si
0.500 0.500 0.874 Si
```